An optimized crystal structure of NaSn3Hg. Source: the Alexandria database, functional GGA-PBE.

```
data_NaSn3Hg
_space_group_name_H-M_alt 'P 1 21/m 1'
_space_group_IT_number 11
_cell_length_a 3.204
_cell_length_b 10.889
_cell_length_c 8.558
_cell_angle_alpha 90.00
_cell_angle_beta 100.65
_cell_angle_gamma 90.00
loop_
_space_group_symop_operation_xyz
'x,y,z'
'-x,-y,-z'
'-x,y+1/2,-z'
'x,-y+1/2,z'
loop_
_atom_site_label
_atom_site_type_symbol
_atom_site_fract_x
_atom_site_fract_y
_atom_site_fract_z
Na1 Na 0.007 0.250 0.016
Sn1 Sn 0.330 0.250 0.661
Sn2 Sn 0.410 0.000 0.818
Hg1 Hg 0.329 0.750 0.653
```

Properties
Its calculated formation energy is -33 meV/atom. The calculation puts the polymorph energy (0 for the lowest one) at 28 meV/atom. Its total magnetization is 0.00 μB per atom.



An optimized crystal structure of Na3Sn2Hg7. Source: the Alexandria database, functional GGA-PBE.

```
data_Na3Sn2Hg7
_space_group_name_H-M_alt 'P 1 2/m 1'
_space_group_IT_number 10
_cell_length_a 5.150
_cell_length_b 3.667
_cell_length_c 17.254
_cell_angle_alpha 90.00
_cell_angle_beta 90.88
_cell_angle_gamma 90.00
loop_
_space_group_symop_operation_xyz
'x,y,z'
'-x,-y,-z'
'-x,y,-z'
'x,-y,z'
loop_
_atom_site_label
_atom_site_type_symbol
_atom_site_fract_x
_atom_site_fract_y
_atom_site_fract_z
Na1 Na 0.000 0.000 0.000
Na2 Na 0.270 0.500 0.622
Sn1 Sn 0.217 0.000 0.287
Hg1 Hg 0.149 0.500 0.137
Hg2 Hg 0.247 0.000 0.458
Hg3 Hg 0.304 0.000 0.801
Hg4 Hg 0.500 0.500 0.000
```

Properties
Its calculated formation energy is -106 meV/atom. The calculation puts the polymorph energy (0 for the lowest one) at 0 meV/atom. Its total magnetization is 0.00 μB per atom.



An optimized crystal structure of Na3SnHg2. Source: the Alexandria database, functional GGA-PBE.

```
data_Na3SnHg2
_space_group_name_H-M_alt 'C m m m'
_space_group_IT_number 65
_space_group_name_Hall '-C 2 2'
_cell_length_a 4.462
_cell_length_b 14.199
_cell_length_c 4.876
_cell_angle_alpha 90.00
_cell_angle_beta 90.00
_cell_angle_gamma 90.00
loop_
_atom_site_label
_atom_site_type_symbol
_atom_site_fract_x
_atom_site_fract_y
_atom_site_fract_z
Na1 Na 0.000 0.000 0.000
Na2 Na 0.000 0.334 0.000
Sn1 Sn 0.000 0.500 0.500
Hg1 Hg 0.000 0.162 0.500
```

Properties
Its calculated formation energy is -171 meV/atom. The calculation puts the polymorph energy (0 for the lowest one) at 42 meV/atom. Its total magnetization is 0.00 μB per atom.



An optimized crystal structure of Na3SnHg12. Source: the Alexandria database, functional GGA-PBE.

```
data_Na3SnHg12
_space_group_name_H-M_alt 'P 4/m m m'
_space_group_IT_number 123
_space_group_name_Hall '-P 4 2'
_cell_length_a 4.714
_cell_length_b 4.714
_cell_length_c 18.611
_cell_angle_alpha 90.00
_cell_angle_beta 90.00
_cell_angle_gamma 90.00
loop_
_atom_site_label
_atom_site_type_symbol
_atom_site_fract_x
_atom_site_fract_y
_atom_site_fract_z
Na1 Na 0.000 0.000 0.000
Na2 Na 0.000 0.000 0.250
Sn1 Sn 0.000 0.000 0.500
Hg1 Hg 0.000 0.500 0.126
Hg2 Hg 0.000 0.500 0.373
Hg3 Hg 0.500 0.500 0.000
Hg4 Hg 0.500 0.500 0.252
Hg5 Hg 0.500 0.500 0.500
```

Properties
Its calculated formation energy is -119 meV/atom. Its total magnetization is 0.00 μB per atom.



An optimized crystal structure of Na3SnHg2. Source: the Alexandria database, functional GGA-PBE.

```
data_Na3SnHg2
_space_group_name_H-M_alt 'C 1 2/c 1'
_space_group_IT_number 15
_cell_length_a 16.003
_cell_length_b 7.899
_cell_length_c 5.038
_cell_angle_alpha 90.00
_cell_angle_beta 108.25
_cell_angle_gamma 90.00
loop_
_space_group_symop_operation_xyz
'x,y,z'
'-x,-y,-z'
'-x,y,-z+1/2'
'x,-y,z+1/2'
'x+1/2,y+1/2,z'
'-x+1/2,-y+1/2,-z'
'-x+1/2,y+1/2,-z+1/2'
'x+1/2,-y+1/2,z+1/2'
loop_
_atom_site_label
_atom_site_type_symbol
_atom_site_fract_x
_atom_site_fract_y
_atom_site_fract_z
Na1 Na 0.000 0.117 0.250
Na2 Na 0.170 0.372 0.418
Sn1 Sn 0.000 0.376 0.750
Hg1 Hg 0.168 0.123 0.916
```

Properties
Its calculated formation energy is -213 meV/atom. The calculation puts the polymorph energy (0 for the lowest one) at 0 meV/atom. Its total magnetization is 0.00 μB per atom.



An optimized crystal structure of NaSnHg2. Source: the Alexandria database, functional GGA-PBE.

```
data_NaSnHg2
_space_group_name_H-M_alt 'R 3 m'
_space_group_IT_number 160
_space_group_name_Hall 'R 3 -2"'
_cell_length_a 3.5245
_cell_length_b 3.5245
_cell_length_c 29.5869
_cell_angle_alpha 90.00
_cell_angle_beta 90.00
_cell_angle_gamma 120.00
loop_
_atom_site_label
_atom_site_type_symbol
_atom_site_fract_x
_atom_site_fract_y
_atom_site_fract_z
Na1 Na 0.0000 0.0000 0.0000
Sn1 Sn 0.0000 0.0000 0.1667
Hg1 Hg 0.0000 0.0000 0.4145
Hg2 Hg 0.0000 0.0000 0.5855
```

Properties
Its calculated formation energy is -80 meV/atom. Its total magnetization is 0.00 μB per atom.



An optimized crystal structure of NaSn2Hg7. Source: the Alexandria database, functional GGA-PBE.

```
data_NaSn2Hg7
_space_group_name_H-M_alt 'C m m m'
_space_group_IT_number 65
_space_group_name_Hall '-C 2 2'
_cell_length_a 9.894
_cell_length_b 18.137
_cell_length_c 3.258
_cell_angle_alpha 90.00
_cell_angle_beta 90.00
_cell_angle_gamma 90.00
loop_
_atom_site_label
_atom_site_type_symbol
_atom_site_fract_x
_atom_site_fract_y
_atom_site_fract_z
Na1 Na 0.000 0.000 0.000
Sn1 Sn 0.000 0.330 0.500
Hg1 Hg 0.000 0.183 0.000
Hg2 Hg 0.000 0.500 0.500
Hg3 Hg 0.228 0.098 0.500
```

Properties
Its calculated formation energy is -2 meV/atom. Its total magnetization is 0.00 μB per atom.



An optimized crystal structure of Na5SnHg2. Source: the Alexandria database, functional GGA-PBE.

```
data_Na5SnHg2
_space_group_name_H-M_alt 'I 4/m m m'
_space_group_IT_number 139
_space_group_name_Hall '-I 4 2'
_cell_length_a 5.365
_cell_length_b 5.365
_cell_length_c 14.960
_cell_angle_alpha 90.00
_cell_angle_beta 90.00
_cell_angle_gamma 90.00
loop_
_atom_site_label
_atom_site_type_symbol
_atom_site_fract_x
_atom_site_fract_y
_atom_site_fract_z
Na1 Na 0.000 0.000 0.000
Na2 Na 0.000 0.500 0.129
Sn1 Sn 0.000 0.000 0.500
Hg1 Hg 0.000 0.000 0.251
```

Properties
Its calculated formation energy is -195 meV/atom. The calculation puts the polymorph energy (0 for the lowest one) at 0 meV/atom. Its total magnetization is 0.00 μB per atom.